Entry 1:
Computed, not measured: a relaxed MgSb4F12 crystal at the PBE-GGA level of DFT.

Calculated values
calculated total energy = -81.20 eV per cell
uncorrected formation energy = -2.392 eV/atom
calculated density = 3.60 Mg/m³

Unit cell a=6.9853 b=7.4468 c=7.9195 alpha=111.89 beta=102.30 gamma=106.73
Last column: nearest neighbours and their distance in Å.
Space group P1 (No. 1)
Asymmetric unit:
Mg 0.0000 0.0000 0.0000 x1  6 F 1.98-2.09
Sb 0.3917 0.7789 0.6717 x1  2 F 1.95-2.14
Sb 0.5026 0.4203 0.4679 x1  2 F 2.01
Sb 0.9535 0.9909 0.5016 x1  4 F 2.01-2.15
Sb 0.9587 0.5098 0.0081 x1  4 F 1.92-2.13
F 0.0831 0.0186 0.7781 x1  1 Mg 2.00, 1 Sb 2.09
F 0.0883 0.7578 0.9423 x1  1 Mg 2.00, 1 Sb 2.11
F 0.1120 0.7916 0.4426 x1  1 Sb 2.07
F 0.2360 0.2236 0.5722 x1  1 Sb 2.01
F 0.2548 0.5676 0.1270 x1  1 Sb 1.92
F 0.2985 0.2178 0.1934 x1  1 Sb 2.01, 1 Mg 2.04
F 0.5607 0.9581 0.5828 x1  1 Sb 1.95
F 0.6817 0.5953 0.3722 x1  1 Sb 2.01
F 0.6893 0.7804 0.8134 x1  1 Mg 2.09, 1 Sb 2.14
F 0.8943 0.2255 0.0333 x1  1 Mg 1.98, 1 Sb 2.13
F 0.9284 0.9459 0.2118 x1  1 Mg 1.99, 1 Sb 2.15
F 0.9460 0.3407 0.7405 x1  1 Sb 1.99

Entry 2:
Computed, not measured: a relaxed Na2LiHSe crystal at the PBE-GGA level of DFT.

Calculated values
calculated total energy = -14.96 eV per cell
calculated density = 2.63 Mg/m³

Unit cell a=4.4508 b=4.4508 c=4.2361 alpha=90.00 beta=90.00 gamma=90.00
Last column: nearest neighbours and their distance in Å.
Space group P4/mmm (No. 123)
Asymmetric unit:
Na 0.0000 0.5000 0.0000 x2  2 H 2.23
Li 0.0000 0.0000 0.5000 x1  2 H 2.12
H 0.0000 0.0000 0.0000 x1  2 Li 2.12, 4 Na 2.23
Se 0.5000 0.5000 0.5000 x1  8 Na 3.07, 4 Li 3.15

Entry 3:
Computed, not measured: a relaxed Pm2In2S7 crystal at the PBE-GGA level of DFT.

Calculated values
calculated total energy = -109.58 eV per cell
uncorrected formation energy = -0.993 eV/atom
calculated density = 3.81 Mg/m³

Unit cell a=8.2489 b=12.3628 c=6.9981 alpha=90.00 beta=114.79 gamma=90.00
Last column: nearest neighbours and their distance in Å.
Space group C2/m (No. 12)
Asymmetric unit:
Pm 0.0000 0.1841 0.0000 x4  6 S 2.78-2.89
In 0.2369 0.5000 0.3492 x4  4 S 2.41-2.58
S 0.0000 0.5000 0.5000 x2  2 S 2.50, 2 In 2.58
S 0.1750 0.0000 0.2590 x4  1 S 2.50, 1 In 2.52
S 0.2243 0.1723 0.7870 x8  1 In 2.41

Entry 4:
Computed, not measured: a relaxed Sm2ThNpP4 crystal at the PBE-GGA level of DFT.

Calculated values
calculated total energy = -62.59 eV per cell
calculated density = 7.70 Mg/m³
formation energy = -1393.4 meV/atom

Unit cell a=7.0663 b=4.0849 c=7.0821 alpha=90.00 beta=109.47 gamma=90.00
Last column: nearest neighbours and their distance in Å.
Space group P2/m (No. 10)
Asymmetric unit:
Sm 0.0000 0.0000 0.0000 x1  6 P 2.93-2.94
Sm 0.5000 0.5000 0.0000 x1  6 P 2.88-2.89
Th 0.0000 0.5000 0.5000 x1  6 P 2.89
Np 0.5000 0.0000 0.5000 x1  6 P 2.84
P 0.2542 0.0000 0.7467 x2  1 Np 2.84, 3 Sm 2.89-2.93, 2 Th 2.89
P 0.2587 0.5000 0.2580 x2  2 Np 2.84, 3 Sm 2.88-2.94, 1 Th 2.89

Entry 5:
Computed, not measured: a relaxed CaAcErIn crystal at the PBE-GGA level of DFT.

Calculated values
calculated total energy = -53.52 eV per cell
calculated density = 6.90 Mg/m³
formation energy = 7.7 meV/atom

Unit cell a=8.0840 b=8.0840 c=8.0840 alpha=90.00 beta=90.00 gamma=90.00
Last column: nearest neighbours and their distance in Å.
Space group F-43m (No. 216)
Asymmetric unit:
Ca 0.0000 0.0000 0.0000 x4  4 In 3.50, 4 Ac 3.50
Ac 0.2500 0.2500 0.7500 x4  4 Er 3.50, 4 Ca 3.50
Er 0.0000 0.0000 0.5000 x4  4 Ac 3.50, 4 In 3.50
In 0.2500 0.2500 0.2500 x4  4 Er 3.50, 4 Ca 3.50

Entry 6:
Computed, not measured: a relaxed Ho3Ti5O12 crystal at the PBE-GGA level of DFT.

Calculated values
calculated total energy = -1390.69 eV per cell
uncorrected formation energy = -3.057 eV/atom
calculated density = 6.21 Mg/m³

Unit cell a=12.5607 b=12.5607 c=12.5607 alpha=90.00 beta=90.00 gamma=90.00
Last column: nearest neighbours and their distance in Å.
Space group Ia-3d (No. 230)
Asymmetric unit:
Ho 0.0000 0.2500 0.1250 x24  8 O 2.38-2.45
Ti 0.0000 0.0000 0.0000 x16  6 O 2.09
Ti 0.0000 0.2500 0.3750 x24  4 O 1.88
O 0.0268 0.0589 0.6531 x96  2 Ti 1.88-2.09

Entry 7:
Computed, not measured: a relaxed BaSiTc crystal at the PBE-GGA level of DFT.

Calculated values
calculated total energy = -35.19 eV per cell
uncorrected formation energy = 0.039 eV/atom
calculated density = 6.46 Mg/m³

Unit cell a=3.3763 b=3.3763 c=11.8753 alpha=90.00 beta=90.00 gamma=90.00
Last column: nearest neighbours and their distance in Å.
Space group I4mm (No. 107)
Asymmetric unit:
Ba 0.0000 0.0000 0.0000 x2  5 Si 3.28-3.58, 5 Tc 3.31-3.55, 4 Ba 3.38
Si 0.0000 0.0000 0.7242 x2  4 Tc 2.47
Tc 0.0000 0.0000 0.2786 x2  4 Si 2.47

> Which value of calculated density does entry 7 give?

6.46 Mg/m³

> Look up the calculated density of the third one.

3.81 Mg/m³

> The highest calculated density belongs to which entry?

Sm2ThNpP4